Entry 1:
SiP2PtO | PBE | relaxed

It has space group P4/mmm (No. 123), with a = 4.690 Å, b = 4.690 Å, c = 3.219 Å, α = 90.00°, β = 90.00° and γ = 90.00°. Symmetry generates all atoms from Si at (0.000, 0.000, 0.000), P at (0.000, 0.500, 0.000), Pt at (0.500, 0.500, 0.500) and O at (0.000, 0.000, 0.500).

The calculation puts the excess energy over the best structure of this formula in the dataset at 0.0 meV/atom. The value obtained for the calculated volume is 70.80 Å³/f.u. The mass density is 7.06 g/cm3. The energy relative to the elements, uncorrected is -0.20 eV/atom.


Entry 2:
CoHg4Mo | PBE | relaxed

It has space group F-43m (No. 216), with a = 7.958 Å, b = 7.958 Å, c = 7.958 Å, α = 90.00°, β = 90.00° and γ = 90.00°. Symmetry generates all atoms from Co at (0.000, 0.000, 0.000), Hg at (0.125, 0.125, 0.625) and Mo at (0.250, 0.250, 0.250).

The value obtained for the calculated volume is 125.98 Å³/f.u. For the formation enthalpy at 0 K, the calculation gives 1015 meV/atom. The mass density is 12.62 g/cm3.


Entry 3:
InAs2Ru2 | PBE | relaxed

It has space group P4/mbm (No. 127), with a = 7.497 Å, b = 7.497 Å, c = 3.006 Å, α = 90.00°, β = 90.00° and γ = 90.00°. Symmetry generates all atoms from In at (0.000, 0.000, 0.000), As at (0.143, 0.357, 0.500) and Ru at (0.140, 0.640, 0.000).

The value obtained for the calculated volume is 84.48 Å³/f.u. For the formation enthalpy at 0 K, the calculation gives 39 meV/atom. The mass density is 9.18 g/cm3.


Entry 4:
Ti2ReGe | PBE | relaxed

It has space group P4/mmm (No. 123), with a = 3.280 Å, b = 3.280 Å, c = 5.706 Å, α = 90.00°, β = 90.00° and γ = 90.00°. Symmetry generates all atoms from Ti at (0.000, 0.000, 0.249), Re at (0.500, 0.500, 0.500) and Ge at (0.500, 0.500, 0.000).

The value obtained for the calculated volume is 61.41 Å³/f.u. For the formation enthalpy at 0 K, the calculation gives -475 meV/atom. The mass density is 9.59 g/cm3.


Entry 5:
YAgOs | PBE | relaxed

It has space group F-43m (No. 216), with a = 6.516 Å, b = 6.516 Å, c = 6.516 Å, α = 90.00°, β = 90.00° and γ = 90.00°. Symmetry generates all atoms from Y at (0.000, 0.000, 0.000), Ag at (0.000, 0.000, 0.500) and Os at (0.250, 0.250, 0.750).

The calculation puts the excess energy over the best structure of this formula in the dataset at 336.8 meV/atom. The value obtained for the calculated volume is 69.17 Å³/f.u. For the formation enthalpy at 0 K, the calculation gives 620 meV/atom. The mass density is 9.29 g/cm3.


Entry 6:
Ta7Be | PBE | relaxed

It has space group Fm-3m (No. 225), with a = 8.285 Å, b = 8.285 Å, c = 8.285 Å, α = 90.00°, β = 90.00° and γ = 90.00°. Symmetry generates all atoms from Ta at (0.000, 0.000, 0.000), Ta at (0.000, 0.250, 0.250) and Be at (0.000, 0.000, 0.500).

The value obtained for the calculated volume is 142.20 Å³/f.u. For the formation enthalpy at 0 K, the calculation gives 235 meV/atom. The mass density is 14.90 g/cm3.


Entry 7:
PuInGaIr | PBE | relaxed

It has space group F-43m (No. 216), with a = 6.821 Å, b = 6.821 Å, c = 6.821 Å, α = 90.00°, β = 90.00° and γ = 90.00°. Symmetry generates all atoms from Pu at (0.000, 0.000, 0.000), In at (0.000, 0.000, 0.500), Ga at (0.250, 0.250, 0.250) and Ir at (0.250, 0.250, 0.750).

The value obtained for the calculated volume is 79.35 Å³/f.u. For the formation enthalpy at 0 K, the calculation gives -235 meV/atom. The mass density is 12.99 g/cm3.


Entry 8:
TaTi4Os5 | PBE | relaxed

It has space group P4/mmm (No. 123), with a = 3.106 Å, b = 3.106 Å, c = 15.601 Å, α = 90.00°, β = 90.00° and γ = 90.00°. Symmetry generates all atoms from Ta at (0.000, 0.000, 0.000), Ti at (0.000, 0.000, 0.205), Ti at (0.000, 0.000, 0.402), Os at (0.500, 0.500, 0.105), Os at (0.500, 0.500, 0.302) and Os at (0.500, 0.500, 0.500).

The value obtained for the calculated volume is 150.55 Å³/f.u. For the formation enthalpy at 0 K, the calculation gives -629 meV/atom. The mass density is 14.60 g/cm3.


Entry 9:
Cd2CuNi2 | PBE | relaxed

It has space group P4/mbm (No. 127), with a = 6.212 Å, b = 6.212 Å, c = 4.011 Å, α = 90.00°, β = 90.00° and γ = 90.00°. Symmetry generates all atoms from Cd at (0.172, 0.328, 0.000), Cu at (0.000, 0.000, 0.500) and Ni at (0.132, 0.632, 0.500).

The calculation puts the excess energy over the best structure of this formula in the dataset at 0.0 meV/atom. The value obtained for the calculated volume is 77.39 Å³/f.u. For the formation enthalpy at 0 K, the calculation gives 84 meV/atom. The mass density is 8.71 g/cm3.


Entry 10:
CeNb4S8 | PBE | relaxed

It has space group F-43m (No. 216), with a = 10.381 Å, b = 10.381 Å, c = 10.381 Å, α = 90.00°, β = 90.00° and γ = 90.00°. Symmetry generates all atoms from Ce at (0.000, 0.000, 0.000), Nb at (0.104, 0.104, 0.604), S at (0.129, 0.129, 0.371) and S at (0.145, 0.145, 0.855).

The calculation puts the excess energy over the best structure of this formula in the dataset at 103.7 meV/atom. The value obtained for the calculated volume is 279.66 Å³/f.u. The mass density is 4.56 g/cm3. The energy relative to the elements, uncorrected is -1.13 eV/atom.


Entry 11:
ZnPtCl2 | PBE | relaxed

It has space group R3m (No. 160, hexagonal axes), with a = 3.3849 Å, b = 3.3849 Å, c = 25.7476 Å, α = 90.00°, β = 90.00° and γ = 120.00°. Symmetry generates all atoms from Zn at (0.0000, 0.0000, 0.0000), Pt at (0.0000, 0.0000, 0.7364), Cl at (0.0000, 0.0000, 0.2758) and Cl at (0.0000, 0.0000, 0.4670).

The calculation puts the excess energy over the best structure of this formula in the dataset at 118.5 meV/atom. The value obtained for the calculated volume is 85.16 Å³/f.u. The mass density is 6.46 g/cm3. The energy relative to the elements, uncorrected is -0.29 eV/atom.


Entry 12:
Y4ErBi5 | PBE | relaxed

It has space group Immm (No. 71), with a = 4.475 Å, b = 6.326 Å, c = 22.376 Å, α = 90.00°, β = 90.00° and γ = 90.00°. Symmetry generates all atoms from Y at (0.000, 0.000, 0.100), Y at (0.000, 0.000, 0.300), Er at (0.000, 0.000, 0.500), Bi at (0.000, 0.500, 0.099), Bi at (0.000, 0.500, 0.300) and Bi at (0.000, 0.500, 0.500).

The value obtained for the calculated volume is 316.74 Å³/f.u. For the formation enthalpy at 0 K, the calculation gives -881 meV/atom. The mass density is 8.22 g/cm3.


What did the eleventh record say?
ZnPtCl2 | PBE | relaxed

It has space group R3m (No. 160, hexagonal axes), with a = 3.3849 Å, b = 3.3849 Å, c = 25.7476 Å, α = 90.00°, β = 90.00° and γ = 120.00°. Symmetry generates all atoms from Zn at (0.0000, 0.0000, 0.0000), Pt at (0.0000, 0.0000, 0.7364), Cl at (0.0000, 0.0000, 0.2758) and Cl at (0.0000, 0.0000, 0.4670).

The calculation puts the excess energy over the best structure of this formula in the dataset at 118.5 meV/atom. The value obtained for the calculated volume is 85.16 Å³/f.u. The mass density is 6.46 g/cm3. The energy relative to the elements, uncorrected is -0.29 eV/atom.


Among the records above, which one has the lowest mass density? CeNb4S8


Which value of mass density does entry 1 give? 7.06 g/cm3


Which of these has the lowest calculated volume? Ti2ReGe